Entry 1:
# Ce2Pm5Ru5 | Alexandria | PBE | relaxed
data_Ce2Pm5Ru5
_chemical_formula_sum 'Ce4 Pm10 Ru10'
_cell_length_a 13.652
_cell_length_b 3.819
_cell_length_c 11.996
_cell_angle_alpha 90.00
_cell_angle_beta 106.54
_cell_angle_gamma 90.00
_space_group_name_H-M_alt 'C 1 2/m 1'
_space_group_IT_number 12
_space_group_name_Hall '-C 2y'
loop_
_atom_site_label
_atom_site_fract_x
_atom_site_fract_y
_atom_site_fract_z
Ce1 0.031 0.000 0.286
Pm1 0.000 0.500 0.000
Pm2 0.163 0.500 0.555
Pm3 0.246 0.000 0.138
Ru1 0.000 0.000 0.500
Ru2 0.104 0.000 0.893
Ru3 0.179 0.500 0.298
# Formation energy = -0.206 eV per atom
# Magnetic moment = 0.00 Bohr magnetons per cell
# Total energy = -7.040 eV per atom



Entry 2:
# KLiRe2 | Alexandria | PBE | relaxed
data_KLiRe2
_chemical_formula_sum 'K1 Li1 Re2'
_cell_length_a 5.572
_cell_length_b 5.572
_cell_length_c 2.536
_cell_angle_alpha 90.00
_cell_angle_beta 90.00
_cell_angle_gamma 90.00
_space_group_name_H-M_alt 'P 4/m m m'
_space_group_IT_number 123
_space_group_name_Hall '-P 4 2'
loop_
_atom_site_label
_atom_site_fract_x
_atom_site_fract_y
_atom_site_fract_z
K1 0.000 0.000 0.000
Li1 0.500 0.500 0.000
Re1 0.000 0.500 0.500
# Formation energy = 1.974 eV per atom
# Magnetic moment = 0.00 Bohr magnetons per cell
# Total energy = -5.003 eV per atom



Entry 3:
# GeSe3I | Alexandria | PBE | relaxed
data_GeSe3I
_chemical_formula_sum 'Ge1 Se3 I1'
_cell_length_a 5.080
_cell_length_b 5.080
_cell_length_c 5.080
_cell_angle_alpha 90.00
_cell_angle_beta 90.00
_cell_angle_gamma 90.00
_space_group_name_H-M_alt 'P m -3 m'
_space_group_IT_number 221
_space_group_name_Hall '-P 4 2 3'
loop_
_atom_site_label
_atom_site_fract_x
_atom_site_fract_y
_atom_site_fract_z
Ge1 0.000 0.000 0.000
Se1 0.000 0.000 0.500
I1 0.500 0.500 0.500
# Uncorrected formation energy = 46.0 kJ/mol of atoms
# Magnetic moment = 0.00 Bohr magnetons per cell
# Total energy = -2.848 eV per atom



Entry 4:
# SiTeIr2 | Alexandria | PBE | relaxed
data_SiTeIr2
_chemical_formula_sum 'Si1 Te1 Ir2'
_cell_length_a 2.972
_cell_length_b 2.972
_cell_length_c 7.412
_cell_angle_alpha 90.00
_cell_angle_beta 90.00
_cell_angle_gamma 90.00
_space_group_name_H-M_alt 'P 4/m m m'
_space_group_IT_number 123
_space_group_name_Hall '-P 4 2'
loop_
_atom_site_label
_atom_site_fract_x
_atom_site_fract_y
_atom_site_fract_z
Si1 0.000 0.000 0.000
Te1 0.000 0.000 0.500
Ir1 0.500 0.500 0.190
# Uncorrected formation energy = -3.9 kJ/mol of atoms
# Magnetic moment = 0.00 Bohr magnetons per cell
# Total energy = -6.613 eV per atom



Entry 5:
# CaPr5Zn6 | Alexandria | PBE | relaxed
data_CaPr5Zn6
_chemical_formula_sum 'Ca2 Pr10 Zn12'
_cell_length_a 5.235
_cell_length_b 15.743
_cell_length_c 7.427
_cell_angle_alpha 90.00
_cell_angle_beta 90.00
_cell_angle_gamma 90.00
_space_group_name_H-M_alt 'C m m m'
_space_group_IT_number 65
_space_group_name_Hall '-C 2 2'
loop_
_atom_site_label
_atom_site_fract_x
_atom_site_fract_y
_atom_site_fract_z
Ca1 0.000 0.000 0.000
Pr1 0.000 0.000 0.500
Pr2 0.000 0.332 0.500
Pr3 0.000 0.337 0.000
Zn1 0.000 0.167 0.248
Zn2 0.000 0.500 0.251
# Formation energy = -0.292 eV per atom
# Magnetic moment = 0.00 Bohr magnetons per cell
# Total energy = -3.087 eV per atom



Entry 6:
# Cd2Cu2Ge | Alexandria | PBE | relaxed
data_Cd2Cu2Ge
_chemical_formula_sum 'Cd4 Cu4 Ge2'
_cell_length_a 3.866
_cell_length_b 3.866
_cell_length_c 12.726
_cell_angle_alpha 90.00
_cell_angle_beta 90.00
_cell_angle_gamma 90.00
_space_group_name_H-M_alt 'I 4/m m m'
_space_group_IT_number 139
_space_group_name_Hall '-I 4 2'
loop_
_atom_site_label
_atom_site_fract_x
_atom_site_fract_y
_atom_site_fract_z
Cd1 0.000 0.500 0.250
Cu1 0.000 0.000 0.092
Ge1 0.000 0.000 0.500
# Formation energy = 0.339 eV per atom
# Magnetic moment = 0.00 Bohr magnetons per cell
# Total energy = -2.589 eV per atom



Entry 7:
# PrSmScHg | Alexandria | PBE | relaxed
data_PrSmScHg
_chemical_formula_sum 'Pr4 Sm4 Sc4 Hg4'
_cell_length_a 7.689
_cell_length_b 7.689
_cell_length_c 7.689
_cell_angle_alpha 90.00
_cell_angle_beta 90.00
_cell_angle_gamma 90.00
_space_group_name_H-M_alt 'F -4 3 m'
_space_group_IT_number 216
_space_group_name_Hall 'F -4 2 3'
loop_
_atom_site_label
_atom_site_fract_x
_atom_site_fract_y
_atom_site_fract_z
Pr1 0.000 0.000 0.000
Sm1 0.000 0.000 0.500
Sc1 0.250 0.250 0.250
Hg1 0.250 0.250 0.750
# Formation energy = -0.089 eV per atom
# Magnetic moment = 1.11 Bohr magnetons per cell
# Total energy = -4.122 eV per atom



Entry 8:
# Rb2InBi | Alexandria | PBE | relaxed
data_Rb2InBi
_chemical_formula_sum 'Rb8 In4 Bi4'
_cell_length_a 5.267
_cell_length_b 5.267
_cell_length_c 25.378
_cell_angle_alpha 90.00
_cell_angle_beta 90.00
_cell_angle_gamma 90.00
_space_group_name_H-M_alt 'I -4 2 d'
_space_group_IT_number 122
_space_group_name_Hall 'I -4 2bw'
loop_
_atom_site_label
_atom_site_fract_x
_atom_site_fract_y
_atom_site_fract_z
Rb1 0.248 0.250 0.125
In1 0.000 0.000 0.000
Bi1 0.000 0.000 0.500
# Formation energy = 0.134 eV per atom
# Magnetic moment = 1.00 Bohr magnetons per cell
# Total energy = -2.005 eV per atom